{
  "formula": "Ca2YZn",
  "functional": "SCAN",
  "state": "single point on PBEsol structure",
  "formation_enthalpy_0k_ev_per_atom": 0.04,
  "energy_ev_per_atom": -15.1294,
  "magnetic_moment_mub_per_fu": 0.00,
  "spacegroup": "Pmmm, No. 47",
  "dos_at_fermi_per_ev_cell": 3.70,
  "lattice_angstrom": [[4.268, 0.000, 0.000], [0.000, 5.013, 0.000], [0.000, 0.000, 5.252]],
  "species": ["Ca", "Ca", "Y", "Zn"],
  "frac_coords": [[0.000, 0.000, 0.000], [0.500, 0.500, 0.000], [0.000, 0.500, 0.500], [0.500, 0.000, 0.500]]
}